[1]
# YGe2Mo2

A relaxed YGe2Mo2 crystal (PBE, OQMD).

POSCAR file:
```
YGe2Mo2
1.0
2.832 -2.832 0.000
2.832 2.832 0.000
-2.832 0.000 5.802
Y Ge Mo
1 2 2
direct
0.000 0.000 0.000
0.392 0.392 0.783
0.608 0.608 0.217
0.250 0.750 0.500
0.750 0.250 0.500
```

Calculated values
E, eV/cell: -39.1


[2]
# YGeMo

A relaxed YGeMo crystal (PBE, OQMD).

POSCAR file:
```
YGeMo
1.0
3.302 3.029 0.618
-0.397 3.155 3.218
2.594 -0.204 3.700
Y Ge Mo
1 1 1
direct
0.750 0.750 0.750
0.000 0.000 0.000
0.250 0.250 0.250
```

Calculated values
E, eV/cell: -21.7


[3]
# YGeMo2

A relaxed YGeMo2 crystal (PBE, OQMD).

POSCAR file:
```
YGeMo2
1.0
0.000 3.300 3.300
3.300 0.000 3.300
3.300 3.300 0.000
Y Mo Ge
1 2 1
direct
0.250 0.250 0.250
0.000 0.000 0.000
0.750 0.750 0.750
0.500 0.500 0.500
```

Calculated values
E, eV/cell: -32.4


[4]
# ZnGe2Mo

A relaxed ZnGe2Mo crystal (PBE, OQMD).

POSCAR file:
```
ZnGe2Mo
1.0
2.457 -3.606 1.232
2.744 0.249 3.600
-1.030 -2.256 3.795
Mo Ge Zn
1 2 1
direct
0.500 0.500 0.500
0.000 0.000 0.000
0.250 0.250 0.250
0.750 0.750 0.750
```

Calculated values
E, eV/cell: -19.1


[5]
# ZnGe2Mo

A relaxed ZnGe2Mo crystal (PBE, OQMD).

POSCAR file:
```
ZnGe2Mo
1.0
-3.239 -1.954 2.498
-2.045 2.346 3.296
-4.320 1.289 -0.480
Zn Ge Mo
1 2 1
direct
0.500 0.500 0.500
0.250 0.250 0.250
0.000 0.000 0.000
0.750 0.750 0.750
```

Calculated values
E, eV/cell: -19.1


[6]
# ZrGe2Mo

A relaxed ZrGe2Mo crystal (PBE, OQMD).

POSCAR file:
```
ZrGe2Mo
1.0
0.348 -3.737 -2.746
-3.842 -2.148 -1.502
-1.223 0.283 -4.478
Zr Mo Ge
1 1 2
direct
0.250 0.250 0.250
0.500 0.500 0.500
0.750 0.750 0.750
0.000 0.000 0.000
```

Calculated values
E, eV/cell: -28.0


[7]
# Zr2Ge2Mo

A relaxed Zr2Ge2Mo crystal (PBE, OQMD).

POSCAR file:
```
Zr2Ge2Mo
1.0
-4.242 -2.166 4.920
4.178 -5.272 1.281
1.898 2.130 2.575
Ge Mo Zr
4 2 4
direct
0.132 0.368 0.000
0.868 0.632 0.000
0.368 0.868 0.000
0.632 0.132 0.000
0.000 0.000 0.000
0.500 0.500 0.000
0.327 0.173 0.500
0.173 0.673 0.500
0.827 0.327 0.500
0.673 0.827 0.500
```

Calculated values
E, eV/cell: -81.1


[8]
# Zr2GeMo

A relaxed Zr2GeMo crystal (PBE, OQMD).

POSCAR file:
```
Zr2GeMo
1.0
0.000 3.319 3.319
3.319 0.000 3.319
3.319 3.319 0.000
Zr Mo Ge
2 1 1
direct
0.000 0.000 0.000
0.750 0.750 0.750
0.250 0.250 0.250
0.500 0.500 0.500
```

Calculated values
E, eV/cell: -33.0


- What is the E in the seventh record?
  -81.1 eV/cell


- Among the records above, which one has the lowest E?
  Zr2Ge2Mo